No. 1
VASP calculation (PBE-GGA) on a relaxed structure of Er2CuGe6.

Summary:
energy: -4.887 eV per atom
symmetry: No. 65
calculated volume: 19.489 Å³/atom

Cell: 10.770 10.770 4.138 Å, 90.00 90.00 158.57°
Positions (direct):
Cu (0.000, 0.000, 0.000)
Er (0.676, 0.324, 0.500)
Er (0.324, 0.676, 0.500)
Ge (0.790, 0.210, 0.000)
Ge (0.571, 0.429, 0.000)
Ge (0.429, 0.571, 0.000)
Ge (0.210, 0.790, 0.000)
Ge (0.931, 0.069, 0.500)
Ge (0.069, 0.931, 0.500)

No. 2
VASP calculation (PBE-GGA) on a relaxed structure of Ho2ErCu4Ge4.

Summary:
energy: -4.908 eV per atom
symmetry: No. 71
calculated volume: 17.500 Å³/atom

Cell: 7.970 7.970 7.970 Å, 149.59 130.80 58.95°
Positions (direct):
Cu (0.979, 0.669, 0.309)
Cu (0.640, 0.331, 0.309)
Cu (0.021, 0.331, 0.691)
Cu (0.360, 0.669, 0.691)
Er (0.000, 0.000, 0.000)
Ge (0.216, 0.216, 0.000)
Ge (0.784, 0.784, 0.000)
Ge (0.692, 0.500, 0.192)
Ge (0.308, 0.500, 0.808)
Ho (0.630, 0.130, 0.500)
Ho (0.370, 0.870, 0.500)

No. 3
VASP calculation (PBE-GGA) on a relaxed structure of HoErCu2Ge2.

Summary:
energy: -4.985 eV per atom
symmetry: No. 156
calculated volume: 18.823 Å³/atom

Cell: 4.215 4.215 7.339 Å, 90.00 90.00 120.00°
Positions (direct):
Cu (0.667, 0.333, 0.478)
Cu (0.333, 0.667, 0.979)
Er (0.000, 0.000, 0.248)
Ge (0.667, 0.333, 0.013)
Ge (0.333, 0.667, 0.513)
Ho (0.000, 0.000, 0.748)

No. 4
VASP calculation (PBE-GGA) on a relaxed structure of HoEr2Cu4Si2Ge2.

Summary:
energy: -5.057 eV per atom
symmetry: No. 71
calculated volume: 17.045 Å³/atom
E above lowest polymorph: 0.097 eV/f.u.

Cell: 7.888 7.888 7.888 Å, 149.47 130.72 59.09°
Positions (direct):
Cu (0.527, 0.336, 0.191)
Cu (0.855, 0.664, 0.191)
Cu (0.145, 0.336, 0.809)
Cu (0.473, 0.664, 0.809)
Er (0.129, 0.129, 0.000)
Er (0.871, 0.871, 0.000)
Ge (0.717, 0.217, 0.500)
Ge (0.283, 0.783, 0.500)
Ho (0.500, 0.000, 0.500)
Si (0.816, 0.500, 0.316)
Si (0.184, 0.500, 0.684)

No. 5
VASP calculation (PBE-GGA) on a relaxed structure of HoEr2Cu4Si2Ge2.

Summary:
energy: -5.065 eV per atom
symmetry: No. 71
calculated volume: 16.946 Å³/atom
E above lowest polymorph: 0.000 eV/f.u.

Cell: 7.892 7.892 7.892 Å, 149.78 130.61 59.00°
Positions (direct):
Cu (0.517, 0.326, 0.191)
Cu (0.866, 0.674, 0.191)
Cu (0.134, 0.326, 0.809)
Cu (0.483, 0.674, 0.809)
Er (0.129, 0.129, 0.000)
Er (0.871, 0.871, 0.000)
Ge (0.807, 0.500, 0.307)
Ge (0.193, 0.500, 0.693)
Ho (0.500, 0.000, 0.500)
Si (0.717, 0.217, 0.500)
Si (0.283, 0.783, 0.500)

No. 6
VASP calculation (PBE-GGA) on a relaxed structure of Ho2ErCu4Sn2Ge2.

Summary:
energy: -4.746 eV per atom
symmetry: No. 71
calculated volume: 19.125 Å³/atom
E above lowest polymorph: 0.000 eV/f.u.

Cell: 8.245 8.245 8.245 Å, 149.40 132.03 57.98°
Positions (direct):
Cu (0.646, 0.338, 0.308)
Cu (0.970, 0.662, 0.308)
Cu (0.030, 0.338, 0.692)
Cu (0.354, 0.662, 0.692)
Er (0.000, 0.000, 0.000)
Ge (0.693, 0.500, 0.193)
Ge (0.307, 0.500, 0.807)
Ho (0.624, 0.124, 0.500)
Ho (0.376, 0.876, 0.500)
Sn (0.217, 0.217, 0.000)
Sn (0.783, 0.783, 0.000)

No. 7
VASP calculation (PBE-GGA) on a relaxed structure of HoEr2Cu4Sn2Ge2.

Summary:
energy: -4.683 eV per atom
symmetry: No. 71
calculated volume: 19.174 Å³/atom
E above lowest polymorph: 0.676 eV/f.u.

Cell: 8.205 8.205 8.205 Å, 149.82 130.05 59.48°
Positions (direct):
Cu (0.989, 0.678, 0.311)
Cu (0.633, 0.322, 0.311)
Cu (0.011, 0.322, 0.689)
Cu (0.367, 0.678, 0.689)
Er (0.635, 0.135, 0.500)
Er (0.365, 0.865, 0.500)
Ge (0.216, 0.216, 0.000)
Ge (0.784, 0.784, 0.000)
Ho (0.000, 0.000, 0.000)
Sn (0.702, 0.500, 0.202)
Sn (0.298, 0.500, 0.798)

No. 8
VASP calculation (PBE-GGA) on a relaxed structure of Ho2ErCu4Sn2Ge2.

Summary:
energy: -4.686 eV per atom
symmetry: No. 71
calculated volume: 19.221 Å³/atom
E above lowest polymorph: 0.661 eV/f.u.

Cell: 8.217 8.217 8.217 Å, 149.78 130.27 59.30°
Positions (direct):
Cu (0.634, 0.323, 0.311)
Cu (0.989, 0.677, 0.311)
Cu (0.366, 0.677, 0.689)
Cu (0.011, 0.323, 0.689)
Er (0.000, 0.000, 0.000)
Ge (0.216, 0.216, 0.000)
Ge (0.784, 0.784, 0.000)
Ho (0.635, 0.135, 0.500)
Ho (0.365, 0.865, 0.500)
Sn (0.703, 0.500, 0.203)
Sn (0.297, 0.500, 0.797)

No. 9
VASP calculation (PBE-GGA) on a relaxed structure of HoEr2Cu4Sn2Ge2.

Summary:
energy: -4.744 eV per atom
symmetry: No. 71
calculated volume: 18.930 Å³/atom
E above lowest polymorph: 0.000 eV/f.u.

Cell: 8.231 8.231 8.231 Å, 149.53 132.10 57.84°
Positions (direct):
Cu (0.650, 0.341, 0.310)
Cu (0.969, 0.659, 0.310)
Cu (0.031, 0.341, 0.690)
Cu (0.350, 0.659, 0.690)
Er (0.625, 0.125, 0.500)
Er (0.375, 0.875, 0.500)
Ge (0.691, 0.500, 0.191)
Ge (0.309, 0.500, 0.809)
Ho (0.000, 0.000, 0.000)
Sn (0.218, 0.218, 0.000)
Sn (0.782, 0.782, 0.000)

No. 10
VASP calculation (PBE-GGA) on a relaxed structure of Er2LuIn3CuGe2.

Summary:
energy: -4.372 eV per atom
symmetry: No. 38
calculated volume: 21.755 Å³/atom

Cell: 4.182 7.349 7.349 Å, 119.90 90.00 90.00°
Positions (direct):
Cu (0.000, 0.004, 0.004)
Er (0.000, 0.999, 0.597)
Er (0.000, 0.597, 0.999)
Ge (0.500, 0.664, 0.333)
Ge (0.500, 0.333, 0.664)
In (0.500, 0.000, 0.244)
In (0.500, 0.757, 0.757)
In (0.500, 0.244, 0.000)
Lu (0.000, 0.403, 0.403)

No. 11
VASP calculation (PBE-GGA) on a relaxed structure of ErLu2In3CuGe2.

Summary:
energy: -4.349 eV per atom
symmetry: No. 38
calculated volume: 21.607 Å³/atom

Cell: 4.164 7.347 7.347 Å, 120.09 90.00 90.00°
Positions (direct):
Cu (0.000, 0.003, 0.003)
Er (0.000, 0.597, 0.597)
Ge (0.500, 0.667, 0.331)
Ge (0.500, 0.331, 0.667)
In (0.500, 0.245, 0.245)
In (0.500, 0.000, 0.756)
In (0.500, 0.756, 0.000)
Lu (0.000, 0.999, 0.402)
Lu (0.000, 0.402, 0.999)

No. 12
VASP calculation (PBE-GGA) on a relaxed structure of Y2ErIn3CuGe2.

Summary:
energy: -4.847 eV per atom
symmetry: No. 38
calculated volume: 22.191 Å³/atom

Cell: 4.225 7.385 7.385 Å, 119.91 90.00 90.00°
Positions (direct):
Cu (0.000, 0.003, 0.003)
Er (0.000, 0.403, 0.403)
Ge (0.500, 0.664, 0.334)
Ge (0.500, 0.334, 0.664)
In (0.500, 0.243, 0.000)
In (0.500, 0.000, 0.243)
In (0.500, 0.757, 0.757)
Y (0.000, 0.999, 0.597)
Y (0.000, 0.597, 0.999)

> What is the formula in the third record?

HoErCu2Ge2

> Which value of calculated volume does entry 5 give?

16.946 Å³/atom